1.
## Be4H7I (GGA-PBE)

Data for a relaxed structure of Be4H7I.

Summary:
DFT total energy = -3.402 eV per atom
ρ = 2.2 g cm⁻³

CIF file:
```
data_Be4H7I
_space_group_name_H-M_alt 'P m n 21'
_space_group_IT_number 31
_cell_length_a 12.197
_cell_length_b 4.858
_cell_length_c 4.425
_cell_angle_alpha 90.00
_cell_angle_beta 90.00
_cell_angle_gamma 90.00
loop_
_space_group_symop_operation_xyz
'x,y,z'
'-x+1/2,-y,z+1/2'
'-x,y,z'
'x+1/2,-y,z+1/2'
loop_
_atom_site_label
_atom_site_type_symbol
_atom_site_fract_x
_atom_site_fract_y
_atom_site_fract_z
Be1 Be 0.096 0.004 0.000
Be2 Be 0.248 0.668 0.284
H1 H 0.000 0.872 0.855
H2 H 0.150 0.813 0.196
H3 H 0.166 0.125 0.778
H4 H 0.224 0.560 0.584
I1 I 0.000 0.327 0.303
```

2.
## Be2HI (GGA-PBE)

Data for a relaxed structure of Be2HI.

Summary:
Energy relative to the lowest polymorph listed for this composition = 0.718 eV/atom
ρ = 4.1 g cm⁻³

CIF file:
```
data_Be2HI
_space_group_name_H-M_alt 'F m -3 m'
_space_group_IT_number 225
_space_group_name_Hall '-F 4 2 3'
_cell_length_a 6.176
_cell_length_b 6.176
_cell_length_c 6.176
_cell_angle_alpha 90.00
_cell_angle_beta 90.00
_cell_angle_gamma 90.00
loop_
_atom_site_label
_atom_site_type_symbol
_atom_site_fract_x
_atom_site_fract_y
_atom_site_fract_z
Be1 Be 0.250 0.250 0.250
H1 H 0.000 0.000 0.000
I1 I 0.000 0.000 0.500
```

3.
## BeIn2HI (GGA-PBE)

Data for a relaxed structure of BeIn2HI.

Summary:
DFT total energy = -2.373 eV per atom
ρ = 5.1 g cm⁻³

CIF file:
```
data_BeIn2HI
_space_group_name_H-M_alt 'P 4/m m m'
_space_group_IT_number 123
_space_group_name_Hall '-P 4 2'
_cell_length_a 5.886
_cell_length_b 5.886
_cell_length_c 3.475
_cell_angle_alpha 90.00
_cell_angle_beta 90.00
_cell_angle_gamma 90.00
loop_
_atom_site_label
_atom_site_type_symbol
_atom_site_fract_x
_atom_site_fract_y
_atom_site_fract_z
Be1 Be 0.000 0.000 0.000
In1 In 0.000 0.500 0.500
H1 H 0.000 0.000 0.500
I1 I 0.500 0.500 0.000
```

4.
## La2BeHI (GGA-PBE)

Data for a relaxed structure of La2BeHI.

Summary:
DFT total energy = -3.950 eV per atom
ρ = 6.2 g cm⁻³

CIF file:
```
data_La2BeHI
_space_group_name_H-M_alt 'P 4/m m m'
_space_group_IT_number 123
_space_group_name_Hall '-P 4 2'
_cell_length_a 5.511
_cell_length_b 5.511
_cell_length_c 3.655
_cell_angle_alpha 90.00
_cell_angle_beta 90.00
_cell_angle_gamma 90.00
loop_
_atom_site_label
_atom_site_type_symbol
_atom_site_fract_x
_atom_site_fract_y
_atom_site_fract_z
La1 La 0.000 0.500 0.000
Be1 Be 0.000 0.000 0.500
H1 H 0.000 0.000 0.000
I1 I 0.500 0.500 0.500
```

5.
## LaBeH2I (GGA-PBE)

Data for a relaxed structure of LaBeH2I.

Summary:
DFT total energy = -2.593 eV per atom
ρ = 4.0 g cm⁻³

CIF file:
```
data_LaBeH2I
_space_group_name_H-M_alt 'P 4/m m m'
_space_group_IT_number 123
_space_group_name_Hall '-P 4 2'
_cell_length_a 4.177
_cell_length_b 4.177
_cell_length_c 6.652
_cell_angle_alpha 90.00
_cell_angle_beta 90.00
_cell_angle_gamma 90.00
loop_
_atom_site_label
_atom_site_type_symbol
_atom_site_fract_x
_atom_site_fract_y
_atom_site_fract_z
La1 La 0.000 0.000 0.000
Be1 Be 0.500 0.500 0.000
H1 H 0.000 0.500 0.500
I1 I 0.000 0.000 0.500
```

6.
## BeMo2HI (GGA-PBE)

Data for a relaxed structure of BeMo2HI.

Summary:
DFT total energy = -3.387 eV per atom
ρ = 5.0 g cm⁻³

CIF file:
```
data_BeMo2HI
_space_group_name_H-M_alt 'P 4/m m m'
_space_group_IT_number 123
_space_group_name_Hall '-P 4 2'
_cell_length_a 4.965
_cell_length_b 4.965
_cell_length_c 4.417
_cell_angle_alpha 90.00
_cell_angle_beta 90.00
_cell_angle_gamma 90.00
loop_
_atom_site_label
_atom_site_type_symbol
_atom_site_fract_x
_atom_site_fract_y
_atom_site_fract_z
Be1 Be 0.000 0.000 0.000
Mo1 Mo 0.000 0.500 0.500
H1 H 0.500 0.500 0.000
I1 I 0.000 0.000 0.500
```

7.
## BeHIN2 (GGA-PBE)

Data for a relaxed structure of BeHIN2.

Summary:
Energy relative to the lowest polymorph listed for this composition = 1.122 eV/atom
ρ = 4.9 g cm⁻³

CIF file:
```
data_BeHIN2
_space_group_name_H-M_alt 'P 4/m m m'
_space_group_IT_number 123
_space_group_name_Hall '-P 4 2'
_cell_length_a 4.083
_cell_length_b 4.083
_cell_length_c 3.385
_cell_angle_alpha 90.00
_cell_angle_beta 90.00
_cell_angle_gamma 90.00
loop_
_atom_site_label
_atom_site_type_symbol
_atom_site_fract_x
_atom_site_fract_y
_atom_site_fract_z
Be1 Be 0.000 0.000 0.000
H1 H 0.500 0.500 0.500
I1 I 0.500 0.500 0.000
N1 N 0.000 0.500 0.500
```

8.
## BeHIN2 (GGA-PBE)

Data for a relaxed structure of BeHIN2.

Summary:
Energy relative to the lowest polymorph listed for this composition = 0.000 eV/atom
ρ = 3.2 g cm⁻³

CIF file:
```
data_BeHIN2
_space_group_name_H-M_alt 'P 4/m m m'
_space_group_IT_number 123
_space_group_name_Hall '-P 4 2'
_cell_length_a 3.263
_cell_length_b 3.263
_cell_length_c 8.086
_cell_angle_alpha 90.00
_cell_angle_beta 90.00
_cell_angle_gamma 90.00
loop_
_atom_site_label
_atom_site_type_symbol
_atom_site_fract_x
_atom_site_fract_y
_atom_site_fract_z
Be1 Be 0.000 0.000 0.000
H1 H 0.500 0.500 0.500
I1 I 0.000 0.000 0.500
N1 N 0.000 0.500 0.000
```

9.
## BeHI2O (GGA-PBE)

Data for a relaxed structure of BeHI2O.

Summary:
Energy relative to the lowest polymorph listed for this composition = 0.000 eV/atom
ρ = 2.9 g cm⁻³

CIF file:
```
data_BeHI2O
_space_group_name_H-M_alt 'P 4/m m m'
_space_group_IT_number 123
_space_group_name_Hall '-P 4 2'
_cell_length_a 7.509
_cell_length_b 7.509
_cell_length_c 2.874
_cell_angle_alpha 90.00
_cell_angle_beta 90.00
_cell_angle_gamma 90.00
loop_
_atom_site_label
_atom_site_type_symbol
_atom_site_fract_x
_atom_site_fract_y
_atom_site_fract_z
Be1 Be 0.000 0.000 0.000
H1 H 0.500 0.500 0.500
I1 I 0.000 0.500 0.000
O1 O 0.000 0.000 0.500
```

10.
## BeHI2O (GGA-PBE)

Data for a relaxed structure of BeHI2O.

Summary:
Energy relative to the lowest polymorph listed for this composition = 0.995 eV/atom
ρ = 5.1 g cm⁻³

CIF file:
```
data_BeHI2O
_space_group_name_H-M_alt 'P 4/m m m'
_space_group_IT_number 123
_space_group_name_Hall '-P 4 2'
_cell_length_a 5.697
_cell_length_b 5.697
_cell_length_c 2.833
_cell_angle_alpha 90.00
_cell_angle_beta 90.00
_cell_angle_gamma 90.00
loop_
_atom_site_label
_atom_site_type_symbol
_atom_site_fract_x
_atom_site_fract_y
_atom_site_fract_z
Be1 Be 0.000 0.000 0.000
H1 H 0.500 0.500 0.500
I1 I 0.000 0.500 0.500
O1 O 0.500 0.500 0.000
```

11.
## BeHIO2 (GGA-PBE)

Data for a relaxed structure of BeHIO2.

Summary:
Energy relative to the lowest polymorph listed for this composition = 1.203 eV/atom
ρ = 4.9 g cm⁻³

CIF file:
```
data_BeHIO2
_space_group_name_H-M_alt 'P 4/m m m'
_space_group_IT_number 123
_space_group_name_Hall '-P 4 2'
_cell_length_a 4.118
_cell_length_b 4.118
_cell_length_c 3.402
_cell_angle_alpha 90.00
_cell_angle_beta 90.00
_cell_angle_gamma 90.00
loop_
_atom_site_label
_atom_site_type_symbol
_atom_site_fract_x
_atom_site_fract_y
_atom_site_fract_z
Be1 Be 0.000 0.000 0.000
H1 H 0.500 0.500 0.500
I1 I 0.500 0.500 0.000
O1 O 0.000 0.500 0.500
```

12.
## BeHIO2 (GGA-PBE)

Data for a relaxed structure of BeHIO2.

Summary:
Energy relative to the lowest polymorph listed for this composition = 0.000 eV/atom
ρ = 3.7 g cm⁻³

CIF file:
```
data_BeHIO2
_space_group_name_H-M_alt 'P 4/m m m'
_space_group_IT_number 123
_space_group_name_Hall '-P 4 2'
_cell_length_a 3.237
_cell_length_b 3.237
_cell_length_c 7.312
_cell_angle_alpha 90.00
_cell_angle_beta 90.00
_cell_angle_gamma 90.00
loop_
_atom_site_label
_atom_site_type_symbol
_atom_site_fract_x
_atom_site_fract_y
_atom_site_fract_z
Be1 Be 0.000 0.000 0.000
H1 H 0.500 0.500 0.500
I1 I 0.000 0.000 0.500
O1 O 0.000 0.500 0.000
```

13.
## BeH8I2O10 (GGA-PBE)

Data for a relaxed structure of BeH8I2O10.

Summary:
DFT total energy = -4.937 eV per atom
ρ = 3.0 g cm⁻³

CIF file:
```
data_BeH8I2O10
_space_group_name_H-M_alt 'P c c n'
_space_group_IT_number 56
_cell_length_a 6.524
_cell_length_b 15.985
_cell_length_c 9.060
_cell_angle_alpha 90.00
_cell_angle_beta 90.00
_cell_angle_gamma 90.00
loop_
_space_group_symop_operation_xyz
'x,y,z'
'-x,-y,-z'
'-x+1/2,-y+1/2,z'
'x+1/2,y+1/2,-z'
'x+1/2,-y,-z+1/2'
'-x+1/2,y,z+1/2'
'-x,y+1/2,-z+1/2'
'x,-y+1/2,z+1/2'
loop_
_atom_site_label
_atom_site_type_symbol
_atom_site_fract_x
_atom_site_fract_y
_atom_site_fract_z
Be1 Be 0.250 0.250 0.170
H1 H 0.004 0.688 0.462
H2 H 0.021 0.710 0.985
H3 H 0.118 0.145 0.308
H4 H 0.133 0.138 0.821
I1 I 0.233 0.546 0.068
O1 O 0.014 0.594 0.533
O2 O 0.035 0.244 0.080
O3 O 0.094 0.642 0.112
O4 O 0.141 0.529 0.879
O5 O 0.246 0.161 0.760
```

14.
## BeH2OsI (GGA-PBE)

Data for a relaxed structure of BeH2OsI.

Summary:
DFT total energy = -3.740 eV per atom
ρ = 8.1 g cm⁻³

CIF file:
```
data_BeH2OsI
_space_group_name_H-M_alt 'P 4/m m m'
_space_group_IT_number 123
_space_group_name_Hall '-P 4 2'
_cell_length_a 3.538
_cell_length_b 3.538
_cell_length_c 5.365
_cell_angle_alpha 90.00
_cell_angle_beta 90.00
_cell_angle_gamma 90.00
loop_
_atom_site_label
_atom_site_type_symbol
_atom_site_fract_x
_atom_site_fract_y
_atom_site_fract_z
Be1 Be 0.000 0.000 0.000
H1 H 0.000 0.500 0.500
Os1 Os 0.500 0.500 0.500
I1 I 0.500 0.500 0.000
```

15.
## Rb2BeHI6 (GGA-PBE)

Data for a relaxed structure of Rb2BeHI6.

Summary:
DFT total energy = -2.255 eV per atom
ρ = 4.3 g cm⁻³

CIF file:
```
data_Rb2BeHI6
_space_group_name_H-M_alt 'I 4/m m m'
_space_group_IT_number 139
_space_group_name_Hall '-I 4 2'
_cell_length_a 7.834
_cell_length_b 7.834
_cell_length_c 11.987
_cell_angle_alpha 90.00
_cell_angle_beta 90.00
_cell_angle_gamma 90.00
loop_
_atom_site_label
_atom_site_type_symbol
_atom_site_fract_x
_atom_site_fract_y
_atom_site_fract_z
Rb1 Rb 0.000 0.500 0.250
Be1 Be 0.000 0.000 0.000
H1 H 0.000 0.000 0.500
I1 I 0.000 0.000 0.198
I2 I 0.227 0.227 0.500
```

16.
## BeSb2HI (GGA-PBE)

Data for a relaxed structure of BeSb2HI.

Summary:
Energy relative to the lowest polymorph listed for this composition = 0.062 eV/atom
ρ = 4.7 g cm⁻³

CIF file:
```
data_BeSb2HI
_space_group_name_H-M_alt 'P 4/m m m'
_space_group_IT_number 123
_space_group_name_Hall '-P 4 2'
_cell_length_a 4.854
_cell_length_b 4.854
_cell_length_c 5.730
_cell_angle_alpha 90.00
_cell_angle_beta 90.00
_cell_angle_gamma 90.00
loop_
_atom_site_label
_atom_site_type_symbol
_atom_site_fract_x
_atom_site_fract_y
_atom_site_fract_z
Be1 Be 0.000 0.000 0.000
Sb1 Sb 0.000 0.500 0.000
H1 H 0.500 0.500 0.500
I1 I 0.000 0.000 0.500
```

17.
## BeSb2HI (GGA-PBE)

Data for a relaxed structure of BeSb2HI.

Summary:
Energy relative to the lowest polymorph listed for this composition = 0.000 eV/atom
ρ = 4.6 g cm⁻³

CIF file:
```
data_BeSb2HI
_space_group_name_H-M_alt 'P 4/m m m'
_space_group_IT_number 123
_space_group_name_Hall '-P 4 2'
_cell_length_a 4.197
_cell_length_b 4.197
_cell_length_c 7.735
_cell_angle_alpha 90.00
_cell_angle_beta 90.00
_cell_angle_gamma 90.00
loop_
_atom_site_label
_atom_site_type_symbol
_atom_site_fract_x
_atom_site_fract_y
_atom_site_fract_z
Be1 Be 0.000 0.000 0.000
Sb1 Sb 0.000 0.500 0.500
H1 H 0.500 0.500 0.500
I1 I 0.500 0.500 0.000
```

18.
## BeTeHI2 (GGA-PBE)

Data for a relaxed structure of BeTeHI2.

Summary:
Energy relative to the lowest polymorph listed for this composition = 0.201 eV/atom
ρ = 5.2 g cm⁻³

CIF file:
```
data_BeTeHI2
_space_group_name_H-M_alt 'P 4/m m m'
_space_group_IT_number 123
_space_group_name_Hall '-P 4 2'
_cell_length_a 5.676
_cell_length_b 5.676
_cell_length_c 3.862
_cell_angle_alpha 90.00
_cell_angle_beta 90.00
_cell_angle_gamma 90.00
loop_
_atom_site_label
_atom_site_type_symbol
_atom_site_fract_x
_atom_site_fract_y
_atom_site_fract_z
Be1 Be 0.000 0.000 0.000
Te1 Te 0.500 0.500 0.000
H1 H 0.500 0.500 0.500
I1 I 0.000 0.500 0.500
```

19.
## BeTeHI2 (GGA-PBE)

Data for a relaxed structure of BeTeHI2.

Summary:
Energy relative to the lowest polymorph listed for this composition = 0.000 eV/atom
ρ = 4.4 g cm⁻³

CIF file:
```
data_BeTeHI2
_space_group_name_H-M_alt 'P 4/m m m'
_space_group_IT_number 123
_space_group_name_Hall '-P 4 2'
_cell_length_a 5.523
_cell_length_b 5.523
_cell_length_c 4.815
_cell_angle_alpha 90.00
_cell_angle_beta 90.00
_cell_angle_gamma 90.00
loop_
_atom_site_label
_atom_site_type_symbol
_atom_site_fract_x
_atom_site_fract_y
_atom_site_fract_z
Be1 Be 0.000 0.000 0.000
Te1 Te 0.000 0.000 0.500
H1 H 0.500 0.500 0.500
I1 I 0.000 0.500 0.000
```

20.
## BeZnH2I (GGA-PBE)

Data for a relaxed structure of BeZnH2I.

Summary:
DFT total energy = -2.111 eV per atom
ρ = 4.3 g cm⁻³

CIF file:
```
data_BeZnH2I
_space_group_name_H-M_alt 'P 4/m m m'
_space_group_IT_number 123
_space_group_name_Hall '-P 4 2'
_cell_length_a 3.831
_cell_length_b 3.831
_cell_length_c 5.401
_cell_angle_alpha 90.00
_cell_angle_beta 90.00
_cell_angle_gamma 90.00
loop_
_atom_site_label
_atom_site_type_symbol
_atom_site_fract_x
_atom_site_fract_y
_atom_site_fract_z
Be1 Be 0.000 0.000 0.000
Zn1 Zn 0.500 0.500 0.500
H1 H 0.000 0.500 0.000
I1 I 0.000 0.000 0.500
```

21.
## Be3InH (GGA-PBE)

Data for a relaxed structure of Be3InH.

Summary:
Energy relative to the lowest polymorph listed for this composition = 0.881 eV/atom
ρ = 2.5 g cm⁻³

CIF file:
```
data_Be3InH
_space_group_name_H-M_alt 'P m -3 m'
_space_group_IT_number 221
_space_group_name_Hall '-P 4 2 3'
_cell_length_a 4.583
_cell_length_b 4.583
_cell_length_c 4.583
_cell_angle_alpha 90.00
_cell_angle_beta 90.00
_cell_angle_gamma 90.00
loop_
_atom_site_label
_atom_site_type_symbol
_atom_site_fract_x
_atom_site_fract_y
_atom_site_fract_z
Be1 Be 0.000 0.000 0.500
In1 In 0.000 0.000 0.000
H1 H 0.500 0.500 0.500
```

22.
## BeIn2H (GGA-PBE)

Data for a relaxed structure of BeIn2H.

Summary:
Energy relative to the lowest polymorph listed for this composition = 0.000 eV/atom
ρ = 5.2 g cm⁻³

CIF file:
```
data_BeIn2H
_space_group_name_H-M_alt 'I -4 2 d'
_space_group_IT_number 122
_space_group_name_Hall 'I -4 2bw'
_cell_length_a 4.990
_cell_length_b 4.990
_cell_length_c 12.261
_cell_angle_alpha 90.00
_cell_angle_beta 90.00
_cell_angle_gamma 90.00
loop_
_atom_site_label
_atom_site_type_symbol
_atom_site_fract_x
_atom_site_fract_y
_atom_site_fract_z
Be1 Be 0.000 0.000 0.000
In1 In 0.196 0.250 0.625
H1 H 0.000 0.000 0.500
```

23.
## Be2InH (GGA-PBE)

Data for a relaxed structure of Be2InH.

Summary:
Energy relative to the lowest polymorph listed for this composition = 0.593 eV/atom
ρ = 4.5 g cm⁻³

CIF file:
```
data_Be2InH
_space_group_name_H-M_alt 'F m -3 m'
_space_group_IT_number 225
_space_group_name_Hall '-F 4 2 3'
_cell_length_a 5.806
_cell_length_b 5.806
_cell_length_c 5.806
_cell_angle_alpha 90.00
_cell_angle_beta 90.00
_cell_angle_gamma 90.00
loop_
_atom_site_label
_atom_site_type_symbol
_atom_site_fract_x
_atom_site_fract_y
_atom_site_fract_z
Be1 Be 0.250 0.250 0.250
In1 In 0.000 0.000 0.000
H1 H 0.000 0.000 0.500
```